VASP calculation (PBE-GGA) on an optimized crystal structure of Li2Mg2Cd.

a b c (Å): 7.7643 7.7643 3.4260
angles (deg): 90.00 90.00 90.00
Closest atoms and distances in Å follow each position.
Fractional coordinates of all 10 atoms:
Li1 0.1614 0.3386 0.0000  6 Mg 2.80-2.88
Li2 0.3386 0.8386 0.0000  6 Mg 2.80-2.88
Li3 0.6614 0.1614 0.0000  6 Mg 2.80-2.88
Li4 0.8386 0.6614 0.0000  6 Mg 2.80-2.88
Mg1 0.1365 0.6365 0.5000  6 Li 2.80-2.88, 1 Mg 3.00, 2 Cd 3.01
Mg2 0.3635 0.1365 0.5000  6 Li 2.80-2.88, 1 Mg 3.00, 2 Cd 3.01
Mg3 0.6365 0.8635 0.5000  6 Li 2.80-2.88, 1 Mg 3.00, 2 Cd 3.01
Mg4 0.8635 0.3635 0.5000  6 Li 2.80-2.88, 1 Mg 3.00, 2 Cd 3.01
Cd1 0.0000 0.0000 0.5000  4 Mg 3.01
Cd2 0.5000 0.5000 0.5000  4 Mg 3.01

## Properties
**V**: 103.3 Å³/f.u.
**DOS at the Fermi energy**: 0.2837 states/eV/atom
**Final energy**: -1.616 eV per atom
**Space-group type**: P4/mbm, No. 127
**ρ**: 2.812 g cm⁻³
**Total magnetization**: 0.0 μB per formula unit
**Energy relative to the elements**: -0.030 eV/atom